# Li2Zr2CrSe6

Li2Zr2CrSe6 after structural relaxation (PBE, the Alexandria database).

Calculated values
space-group type: C2/m, No. 12
DOS(E_F): 4.5 states/eV/cell
energy relative to the elements, uncorrected: -1.14 eV per atom

Unit cell a=6.4757 b=6.4757 c=6.9053 alpha=98.95 beta=98.95 gamma=120.04
Last column: nearest neighbours and their distance in Å.
Fractional coordinates of all 11 atoms:
1 Li 0.1712 0.8288 0.0000  6 Se 2.72-2.79
2 Li 0.8288 0.1712 0.0000  6 Se 2.72-2.79
3 Zr 0.3329 0.6671 0.5000  6 Se 2.71-2.72
4 Zr 0.6671 0.3329 0.5000  6 Se 2.71-2.72
5 Cr 0.0000 0.0000 0.5000  6 Se 2.58-2.60
6 Se 0.0825 0.3998 0.7415  1 Cr 2.60, 2 Zr 2.71-2.72, 2 Li 2.72-2.79
7 Se 0.2361 0.2361 0.2607  1 Cr 2.58, 2 Zr 2.72, 2 Li 2.75
8 Se 0.3998 0.0825 0.7415  1 Cr 2.60, 2 Zr 2.71-2.72, 2 Li 2.72-2.79
9 Se 0.6002 0.9175 0.2585  1 Cr 2.60, 2 Zr 2.71-2.72, 2 Li 2.72-2.79
10 Se 0.7639 0.7639 0.7393  1 Cr 2.58, 2 Zr 2.72, 2 Li 2.75
11 Se 0.9175 0.6002 0.2585  1 Cr 2.60, 2 Zr 2.71-2.72, 2 Li 2.72-2.79